# Ac2Sm2Er GGA-PBE relaxed
data_Ac2Sm2Er
_chemical_formula_sum 'Ac4 Sm4 Er2'
_symmetry_space_group_name_H-M 'I 4/m m m'
_symmetry_Int_Tables_number 139
_symmetry_space_group_name_Hall '-I 4 2'
_cell_length_a 4.920
_cell_length_b 4.920
_cell_length_c 16.649
_cell_angle_alpha 90.00
_cell_angle_beta 90.00
_cell_angle_gamma 90.00
loop_
_atom_site_label
_atom_site_type_symbol
_atom_site_fract_x
_atom_site_fract_y
_atom_site_fract_z
Ac1 Ac 0.000 0.500 0.250
Sm1 Sm 0.000 0.000 0.091
Er1 Er 0.000 0.000 0.500
# Relative energy among the computed polymorphs in meV/atom: 418.6



# AcSmEr GGA-PBE relaxed
data_AcSmEr
_chemical_formula_sum 'Ac2 Sm2 Er2'
_symmetry_space_group_name_H-M 'P 1 m 1'
_symmetry_Int_Tables_number 6
_cell_length_a 3.780
_cell_length_b 5.993
_cell_length_c 9.863
_cell_angle_alpha 90.00
_cell_angle_beta 101.02
_cell_angle_gamma 90.00
loop_
_symmetry_equiv_pos_as_xyz
'x,y,z'
'x,-y,z'
loop_
_atom_site_label
_atom_site_type_symbol
_atom_site_fract_x
_atom_site_fract_y
_atom_site_fract_z
Ac1 Ac 0.000 0.000 0.000
Ac2 Ac 0.437 0.500 0.873
Sm1 Sm 0.117 0.500 0.229
Sm2 Sm 0.324 0.000 0.643
Er1 Er 0.669 0.000 0.334
Er2 Er 0.772 0.500 0.539
# Relative energy among the computed polymorphs in meV/atom: 11.6



Energy list, top to bottom, in eV per atom: -3.9598; -4.3943
Energy of formation list, top to bottom, in meV per atom: 484; 69